This record from Alexandria describes CaFeSi2 after structural relaxation. The functional is PBE.

```
CaFeSi2
1.0
-0.545 -2.626 1.532
2.818 -1.020 -0.746
2.489 2.763 5.621
Si Fe Ca
2 1 1
Direct
0.500 0.500 0.187
0.000 0.000 0.965
0.500 0.500 0.840
0.000 0.000 0.507
```

Calculated values
The formation energy without anion corrections comes out at -0.0890 eV per atom.

This record from Alexandria describes CaFe2Si after structural relaxation. The functional is PBE.

```
CaFe2Si
1.0
4.011 0.011 -0.035
1.998 3.478 -0.035
2.039 1.184 5.141
Ca Fe Si
1 2 1
Direct
0.248 0.248 0.254
0.059 0.059 0.823
0.754 0.754 0.737
0.438 0.438 0.686
```

Calculated values
The formation energy without anion corrections comes out at -0.1939 eV per atom.

This record from Alexandria describes CaFe4Si after structural relaxation. The functional is PBE.

```
CaFe4Si
1.0
-2.142 -0.316 4.398
-4.864 -0.520 0.326
-1.915 -4.258 1.494
Fe Si Ca
4 1 1
Direct
0.376 0.872 0.376
0.376 0.376 0.872
0.376 0.376 0.376
0.872 0.376 0.376
0.750 0.750 0.750
0.000 0.000 0.000
```

Calculated values
The formation energy without anion corrections comes out at 0.1844 eV per atom.

This record from Alexandria describes Ca2FeSi after structural relaxation. The functional is PBE.

```
Ca2FeSi
1.0
-3.086 0.783 -0.819
-1.051 -2.865 1.222
-1.071 3.569 7.445
Ca Fe Si
2 1 1
Direct
0.500 0.500 0.321
0.000 0.000 0.925
0.000 0.000 0.583
0.500 0.500 0.671
```

Calculated values
The formation energy without anion corrections comes out at -0.0276 eV per atom.

This record from Alexandria describes CaFeSi2 after structural relaxation. The functional is PBE.

```
CaFeSi2
1.0
-2.149 -3.259 0.197
1.689 -3.399 0.935
-1.091 -1.301 5.422
Si Fe Ca
2 1 1
Direct
0.953 0.953 0.141
0.547 0.547 0.359
0.250 0.250 0.250
0.750 0.750 0.750
```

Calculated values
The formation energy without anion corrections comes out at -0.4168 eV per atom.

This record from Alexandria describes Ca2FeSi after structural relaxation. The functional is PBE.

```
Ca2FeSi
1.0
3.830 0.003 0.016
1.914 5.740 0.013
1.886 0.926 8.853
Ca Si Fe
4 2 2
Direct
0.982 0.965 0.998
0.176 0.411 0.165
0.160 0.049 0.558
0.822 0.547 0.738
0.411 0.841 0.264
0.519 0.447 0.443
0.920 0.679 0.409
0.766 0.073 0.321
```

Calculated values
The formation energy without anion corrections comes out at -0.1231 eV per atom.

This record from Alexandria describes Ca2FeSi after structural relaxation. The functional is PBE.

```
Ca2FeSi
1.0
-3.857 -1.347 4.350
-2.373 -5.474 0.124
5.051 3.177 0.102
Ca Si Fe
2 1 1
Direct
0.031 0.031 0.000
0.734 0.234 0.500
0.296 0.796 0.500
0.439 0.439 0.000
```

Calculated values
The formation energy without anion corrections comes out at -0.0197 eV per atom.

This record from Alexandria describes CaFeSi2 after structural relaxation. The functional is PBE.

```
CaFeSi2
1.0
3.557 -0.432 2.564
0.157 -3.195 3.031
2.711 -3.429 -0.552
Fe Si Ca
1 2 1
Direct
0.500 0.500 0.500
0.250 0.250 0.250
0.750 0.750 0.750
0.000 0.000 0.000
```

Calculated values
The formation energy without anion corrections comes out at 0.1518 eV per atom.

This record from Alexandria describes CaFe3Si after structural relaxation. The functional is PBE.

```
CaFe3Si
1.0
4.413 0.000 0.000
0.000 4.413 0.000
0.000 0.000 4.413
Si Fe Ca
1 3 1
Direct
0.000 0.000 0.000
0.000 0.500 0.000
0.500 0.000 0.000
0.000 0.000 0.500
0.500 0.500 0.500
```

Calculated values
The formation energy without anion corrections comes out at 0.3732 eV per atom. The value obtained for the energy above the lowest structure with this stoichiometry is 0.000 eV per atom.

This record from Alexandria describes CaFeSi2 after structural relaxation. The functional is PBE.

```
CaFeSi2
1.0
2.991 0.000 0.000
0.000 2.962 0.414
0.000 2.004 7.270
Si Fe Ca
2 1 1
Direct
0.000 0.069 0.931
0.000 0.431 0.569
0.500 0.750 0.750
0.500 0.250 0.250
```

Calculated values
The formation energy without anion corrections comes out at -0.2744 eV per atom.

This record from Alexandria describes CaFeSi2 after structural relaxation. The functional is PBE.

```
CaFeSi2
1.0
5.557 0.005 0.036
2.681 4.867 -0.036
-3.516 -3.456 2.564
Ca Fe Si
1 1 2
Direct
0.506 0.506 0.000
0.791 0.291 0.500
0.214 0.714 0.500
0.989 0.989 0.000
```

Calculated values
The formation energy without anion corrections comes out at 0.2452 eV per atom.

This record from Alexandria describes CaFe2Si after structural relaxation. The functional is PBE.

```
CaFe2Si
1.0
-0.843 3.237 -1.742
-4.000 -0.855 0.349
-0.095 1.926 3.625
Fe Ca Si
2 1 1
Direct
0.000 0.000 0.000
0.000 0.500 0.500
0.500 0.000 0.500
0.500 0.500 0.000
```

Calculated values
The formation energy without anion corrections comes out at 0.3742 eV per atom.

This record from Alexandria describes CaFeSi2 after structural relaxation. The functional is PBE.

```
CaFeSi2
1.0
-1.225 0.572 3.768
3.008 -2.286 1.325
2.403 3.323 0.277
Si Ca Fe
2 1 1
Direct
0.500 0.500 0.000
0.000 0.000 0.000
0.500 0.000 0.500
0.000 0.500 0.500
```

Calculated values
The formation energy without anion corrections comes out at 0.1759 eV per atom.

This record from Alexandria describes Ca2FeSi after structural relaxation. The functional is PBE.

```
Ca2FeSi
1.0
-3.481 -2.305 -0.088
2.160 -3.337 1.989
-0.298 0.232 5.684
Fe Ca Si
1 2 1
Direct
0.000 0.668 0.538
0.500 0.271 0.334
0.000 0.982 0.910
0.500 0.579 0.717
```

Calculated values
The formation energy without anion corrections comes out at -0.0924 eV per atom.

This record from Alexandria describes CaFe2Si after structural relaxation. The functional is PBE.

```
CaFe2Si
1.0
3.820 0.000 0.000
0.000 3.095 0.066
0.000 1.406 5.939
Fe Si Ca
2 1 1
Direct
0.500 0.456 0.210
0.000 0.998 0.128
0.000 0.345 0.435
0.500 0.701 0.728
```

Calculated values
The formation energy without anion corrections comes out at 0.0489 eV per atom.

This record from Alexandria describes CaFe3Si after structural relaxation. The functional is PBE.

```
CaFe3Si
1.0
-2.985 0.672 -3.297
2.188 -2.961 -2.584
-2.556 -3.319 1.638
Si Ca Fe
1 1 3
Direct
0.500 0.500 0.500
0.000 0.000 0.000
0.000 0.000 0.500
0.000 0.500 0.000
0.500 0.000 0.000
```

Calculated values
The formation energy without anion corrections comes out at 2.0385 eV per atom. The value obtained for the energy above the lowest structure with this stoichiometry is 1.665 eV per atom.

This record from Alexandria describes CaFeSi3 after structural relaxation. The functional is PBE.

```
CaFeSi3
1.0
-0.126 4.440 0.523
-1.782 0.430 -4.080
-4.100 -0.323 1.757
Si Ca Fe
3 1 1
Direct
0.000 0.000 0.500
0.000 0.500 0.000
0.500 0.000 0.000
0.500 0.500 0.500
0.000 0.000 0.000
```

Calculated values
The formation energy without anion corrections comes out at 0.0348 eV per atom.

This record from Alexandria describes CaFe2Si after structural relaxation. The functional is PBE.

```
CaFe2Si
1.0
-1.561 4.677 2.721
-3.912 4.020 -0.498
-4.464 1.872 2.878
Si Ca Fe
1 1 2
Direct
0.250 0.250 0.250
0.750 0.750 0.750
0.933 0.933 0.933
0.567 0.567 0.567
```

Calculated values
The formation energy without anion corrections comes out at -0.2060 eV per atom.

This record from Alexandria describes CaFe2Si after structural relaxation. The functional is PBE.

```
CaFe2Si
1.0
-1.660 -3.737 3.213
5.174 0.476 -0.208
0.609 0.992 2.438
Si Fe Ca
1 2 1
Direct
0.500 0.000 0.500
0.500 0.500 0.000
0.000 0.000 0.000
0.000 0.500 0.500
```

Calculated values
The formation energy without anion corrections comes out at 0.4319 eV per atom.

This record from Alexandria describes CaFeSi2 after structural relaxation. The functional is PBE.

```
CaFeSi2
1.0
4.522 0.000 0.000
2.261 3.916 0.000
2.261 1.305 3.692
Si Ca Fe
2 1 1
Direct
0.000 0.000 0.000
0.250 0.250 0.250
0.500 0.500 0.500
0.750 0.750 0.750
```

Calculated values
The formation energy without anion corrections comes out at 0.3666 eV per atom.